Computed, not measured: crystalline Dy5TmTl2In at its relaxed geometry at the PBE-GGA level of DFT. Values from VASP.

Cell and atoms, written as Quantum ESPRESSO input:
```
&SYSTEM
  ibrav = 0, nat = 18, ntyp = 4
/
ATOMIC_SPECIES
Dy 162.50 Dy.upf
Tm 168.93 Tm.upf
Tl 204.38 Tl.upf
In 114.82 In.upf
ATOMIC_POSITIONS crystal
Dy 0.0000 0.0000 0.0000
Dy 0.0763 0.5763 0.9251
Dy 0.1513 0.0763 0.5000
Dy 0.3487 0.8487 0.9251
Dy 0.4237 0.3487 0.5000
Dy 0.5000 0.5000 0.0000
Dy 0.5763 0.6513 0.5000
Dy 0.6513 0.1513 0.0749
Dy 0.8487 0.9237 0.5000
Dy 0.9237 0.4237 0.0749
Tm 0.2500 0.7500 0.5000
Tm 0.7500 0.2500 0.5000
Tl 0.1248 0.3752 0.5000
Tl 0.3752 0.8752 0.2504
Tl 0.6248 0.1248 0.7496
Tl 0.8752 0.6248 0.5000
In 0.2500 0.2500 0.0000
In 0.7500 0.7500 0.0000
CELL_PARAMETERS angstrom
-3.9129 3.9129 8.7170
3.9129 -3.9129 8.7170
3.9129 3.9129 -8.7170
```

Computed properties:
ΔE_f: -0.01 eV/atom
DFT total energy: -3.8985 eV/atom

Computed, not measured: crystalline K3Bi4Pb4 at its relaxed geometry at the PBE-GGA level of DFT. Values from VASP.

Cell and atoms, written as Quantum ESPRESSO input:
```
&SYSTEM
  ibrav = 0, nat = 11, ntyp = 3
/
ATOMIC_SPECIES
K 39.10 K.upf
Bi 208.98 Bi.upf
Pb 207.20 Pb.upf
ATOMIC_POSITIONS crystal
K 0.0000 0.0000 0.0000
K 0.3826 0.8826 0.5000
K 0.6174 0.1174 0.5000
Bi 0.2164 0.2164 0.0000
Bi 0.3203 0.5000 0.8203
Bi 0.6797 0.5000 0.1797
Bi 0.7836 0.7836 0.0000
Pb 0.0193 0.3256 0.6937
Pb 0.3681 0.6744 0.6937
Pb 0.6319 0.3256 0.3063
Pb 0.9807 0.6744 0.3063
CELL_PARAMETERS angstrom
-2.8173 4.4078 8.5191
2.8173 -4.4078 8.5191
2.8173 4.4078 -8.5191
```

Computed properties:
ΔE_f: -0.19 eV/atom
DFT total energy: -3.2503 eV/atom

Computed, not measured: crystalline CaLuMgZn at its relaxed geometry at the PBE-GGA level of DFT. Values from VASP.

Cell and atoms, written as Quantum ESPRESSO input:
```
&SYSTEM
  ibrav = 0, nat = 4, ntyp = 4
/
ATOMIC_SPECIES
Ca 40.08 Ca.upf
Lu 174.97 Lu.upf
Mg 24.30 Mg.upf
Zn 65.41 Zn.upf
ATOMIC_POSITIONS crystal
Ca 0.0000 0.0000 0.0000
Lu 0.5000 0.5000 0.5000
Mg 0.2500 0.2500 0.2500
Zn 0.7500 0.7500 0.7500
CELL_PARAMETERS angstrom
0.0000 3.6985 3.6985
3.6985 0.0000 3.6985
3.6985 3.6985 0.0000
```

Computed properties:
ΔE_f: -0.11 eV/atom
DFT total energy: -2.4609 eV/atom

Computed, not measured: crystalline Zn2CdPt2 at its relaxed geometry at the PBE-GGA level of DFT. Values from VASP.

Cell and atoms, written as Quantum ESPRESSO input:
```
&SYSTEM
  ibrav = 0, nat = 5, ntyp = 3
/
ATOMIC_SPECIES
Zn 65.41 Zn.upf
Cd 112.41 Cd.upf
Pt 195.08 Pt.upf
ATOMIC_POSITIONS crystal
Zn 0.2500 0.7500 0.5000
Zn 0.7500 0.2500 0.5000
Cd 0.0000 0.0000 0.0000
Pt 0.3929 0.3929 0.0000
Pt 0.6071 0.6071 0.0000
CELL_PARAMETERS angstrom
-1.8762 1.8762 6.2136
1.8762 -1.8762 6.2136
1.8762 1.8762 -6.2136
```

Computed properties:
ΔE_f: -0.33 eV/atom
DFT total energy: -3.4347 eV/atom

Computed, not measured: crystalline Sn3BiPb2 at its relaxed geometry at the PBE-GGA level of DFT. Values from VASP.

Cell and atoms, written as Quantum ESPRESSO input:
```
&SYSTEM
  ibrav = 0, nat = 12, ntyp = 3
/
ATOMIC_SPECIES
Sn 118.71 Sn.upf
Bi 208.98 Bi.upf
Pb 207.20 Pb.upf
ATOMIC_POSITIONS crystal
Sn 0.0000 0.5000 0.0000
Sn 0.1467 0.3197 0.4802
Sn 0.3197 0.1467 0.9802
Sn 0.5000 0.0000 0.5000
Sn 0.6803 0.8533 0.0198
Sn 0.8533 0.6803 0.5198
Bi 0.0876 0.9124 0.2500
Bi 0.9124 0.0876 0.7500
Pb 0.2665 0.7335 0.7500
Pb 0.4263 0.5737 0.2500
Pb 0.5737 0.4263 0.7500
Pb 0.7335 0.2665 0.2500
CELL_PARAMETERS angstrom
4.1422 -6.4235 0.0000
4.1422 6.4235 0.0000
-2.1215 0.0000 7.1824
```

Computed properties:
ΔE_f: 0.12 eV/atom
DFT total energy: -3.7649 eV/atom

Computed, not measured: crystalline Li3CdPd2O6 at its relaxed geometry at the PBE-GGA level of DFT. Values from VASP.

Cell and atoms, written as Quantum ESPRESSO input:
```
&SYSTEM
  ibrav = 0, nat = 12, ntyp = 4
/
ATOMIC_SPECIES
Li 6.94 Li.upf
Cd 112.41 Cd.upf
Pd 106.42 Pd.upf
O 16.00 O.upf
ATOMIC_POSITIONS crystal
Li 0.0000 0.0000 0.0000
Li 0.3185 0.6815 0.0000
Li 0.6815 0.3185 0.0000
Cd 0.5000 0.5000 0.5000
Pd 0.1657 0.8343 0.5000
Pd 0.8343 0.1657 0.5000
O 0.0637 0.4280 0.2634
O 0.2101 0.2101 0.7409
O 0.4280 0.0637 0.2634
O 0.5720 0.9363 0.7366
O 0.7899 0.7899 0.2591
O 0.9363 0.5720 0.7366
CELL_PARAMETERS angstrom
2.7411 -4.7823 0.0000
2.7411 4.7823 0.0000
-1.7495 0.0000 4.9063
```

Computed properties:
E_form (uncorrected): -1.07 eV per atom
DFT total energy: -4.9654 eV/atom

Computed, not measured: crystalline Zr5Al at its relaxed geometry at the PBE-GGA level of DFT. Values from VASP.

Cell and atoms, written as Quantum ESPRESSO input:
```
&SYSTEM
  ibrav = 0, nat = 6, ntyp = 2
/
ATOMIC_SPECIES
Zr 91.22 Zr.upf
Al 26.98 Al.upf
ATOMIC_POSITIONS crystal
Zr 0.0000 0.0000 0.0000
Zr 0.0000 0.0000 0.3487
Zr 0.0000 0.0000 0.6513
Zr 0.5000 0.5000 0.1725
Zr 0.5000 0.5000 0.8275
Al 0.5000 0.5000 0.5000
CELL_PARAMETERS angstrom
3.1634 0.0000 0.0000
0.0000 3.1634 0.0000
0.0000 0.0000 13.2006
```

Computed properties:
ΔE_f: -0.12 eV/atom
DFT total energy: -7.8633 eV/atom

Computed, not measured: crystalline Ca3NbSb at its relaxed geometry at the PBE-GGA level of DFT. Values from VASP.

Cell and atoms, written as Quantum ESPRESSO input:
```
&SYSTEM
  ibrav = 0, nat = 5, ntyp = 3
/
ATOMIC_SPECIES
Ca 40.08 Ca.upf
Nb 92.91 Nb.upf
Sb 121.76 Sb.upf
ATOMIC_POSITIONS crystal
Ca 0.0000 0.0000 0.5000
Ca 0.0000 0.5000 0.0000
Ca 0.5000 0.0000 0.0000
Nb 0.0000 0.0000 0.0000
Sb 0.5000 0.5000 0.5000
CELL_PARAMETERS angstrom
5.5020 0.0000 0.0000
0.0000 5.5020 0.0000
0.0000 0.0000 5.5020
```

Computed properties:
E_form (uncorrected): 0.74 eV per atom
DFT total energy: -3.2979 eV/atom

Computed, not measured: crystalline Pm3Pr3Ir2 at its relaxed geometry at the PBE-GGA level of DFT. Values from VASP.

Cell and atoms, written as Quantum ESPRESSO input:
```
&SYSTEM
  ibrav = 0, nat = 16, ntyp = 3
/
ATOMIC_SPECIES
Pm 145.00 Pm.upf
Pr 140.91 Pr.upf
Ir 192.22 Ir.upf
ATOMIC_POSITIONS crystal
Pm 0.1547 0.8453 0.5184
Pm 0.1547 0.8453 0.9816
Pm 0.1610 0.8390 0.2500
Pm 0.8390 0.1610 0.7500
Pm 0.8453 0.1547 0.0184
Pm 0.8453 0.1547 0.4816
Pr 0.1363 0.8637 0.7500
Pr 0.4573 0.5427 0.6170
Pr 0.4573 0.5427 0.8830
Pr 0.5427 0.4573 0.1170
Pr 0.5427 0.4573 0.3830
Pr 0.8637 0.1363 0.2500
Ir 0.3204 0.6796 0.1172
Ir 0.3204 0.6796 0.3828
Ir 0.6796 0.3204 0.6172
Ir 0.6796 0.3204 0.8828
CELL_PARAMETERS angstrom
2.4953 -6.3813 0.0000
2.4953 6.3813 0.0000
0.0000 0.0000 15.0142
```

Computed properties:
ΔE_f: -0.37 eV/atom
DFT total energy: -6.1557 eV/atom

Computed, not measured: crystalline Tb6Al2In at its relaxed geometry at the PBE-GGA level of DFT. Values from VASP.

Cell and atoms, written as Quantum ESPRESSO input:
```
&SYSTEM
  ibrav = 0, nat = 18, ntyp = 3
/
ATOMIC_SPECIES
Tb 158.93 Tb.upf
Al 26.98 Al.upf
In 114.82 In.upf
ATOMIC_POSITIONS crystal
Tb 0.0306 0.8208 0.2097
Tb 0.2427 0.5403 0.2976
Tb 0.2427 0.9451 0.7024
Tb 0.2753 0.3154 0.5907
Tb 0.2753 0.6846 0.9599
Tb 0.3889 0.1792 0.2097
Tb 0.6111 0.8208 0.7903
Tb 0.7247 0.3154 0.0401
Tb 0.7247 0.6846 0.4093
Tb 0.7573 0.0549 0.2976
Tb 0.7573 0.4597 0.7024
Tb 0.9694 0.1792 0.7903
Al 0.0000 0.1413 0.1413
Al 0.0000 0.8587 0.8587
Al 0.3785 0.3785 0.0000
Al 0.6215 0.6215 0.0000
In 0.0000 0.5000 0.5000
In 0.5000 0.0000 0.5000
CELL_PARAMETERS angstrom
-4.8664 4.9322 5.3447
4.8664 -4.9322 5.3447
4.8664 4.9322 -5.3447
```

Computed properties:
ΔE_f: -0.30 eV/atom
DFT total energy: -4.5187 eV/atom

Computed, not measured: crystalline MgPaAl2Pd2 at its relaxed geometry at the PBE-GGA level of DFT. Values from VASP.

Cell and atoms, written as Quantum ESPRESSO input:
```
&SYSTEM
  ibrav = 0, nat = 6, ntyp = 4
/
ATOMIC_SPECIES
Mg 24.30 Mg.upf
Pa 231.04 Pa.upf
Al 26.98 Al.upf
Pd 106.42 Pd.upf
ATOMIC_POSITIONS crystal
Mg 0.0000 0.0000 0.0000
Pa 0.0000 0.0000 0.5000
Al 0.3333 0.6667 0.2034
Al 0.6667 0.3333 0.7966
Pd 0.3333 0.6667 0.7694
Pd 0.6667 0.3333 0.2306
CELL_PARAMETERS angstrom
4.4306 0.0000 0.0000
-2.2153 3.8370 0.0000
0.0000 0.0000 6.5627
```

Computed properties:
ΔE_f: -0.53 eV/atom
DFT total energy: -5.3563 eV/atom

Computed, not measured: crystalline Pm2Ni2H6Pd at its relaxed geometry at the PBE-GGA level of DFT. Values from VASP.

Cell and atoms, written as Quantum ESPRESSO input:
```
&SYSTEM
  ibrav = 0, nat = 11, ntyp = 4
/
ATOMIC_SPECIES
Pm 145.00 Pm.upf
Ni 58.69 Ni.upf
H 1.01 H.upf
Pd 106.42 Pd.upf
ATOMIC_POSITIONS crystal
Pm 0.2352 0.2352 0.2352
Pm 0.7648 0.7648 0.7648
Ni 0.4168 0.4168 0.4168
Ni 0.5832 0.5832 0.5832
H 0.2176 0.7579 0.7579
H 0.2421 0.2421 0.7824
H 0.2421 0.7824 0.2421
H 0.7579 0.2176 0.7579
H 0.7579 0.7579 0.2176
H 0.7824 0.2421 0.2421
Pd 0.0000 0.0000 0.0000
CELL_PARAMETERS angstrom
2.5742 1.4862 5.0635
-2.5742 1.4862 5.0635
0.0000 -2.9724 5.0635
```

Computed properties:
DFT total energy: -4.5585 eV/atom